# HgP2IrO

An optimized crystal structure of HgP2IrO (PBE, the Alexandria database).

Cell and atoms, written as CIF:
```
data_HgP2IrO
_chemical_formula_sum 'Hg1 P2 Ir1 O1'
_cell_length_a 4.909
_cell_length_b 4.909
_cell_length_c 3.717
_cell_angle_alpha 90.00
_cell_angle_beta 90.00
_cell_angle_gamma 90.00
_space_group_name_H-M_alt 'P 4/m m m'
_space_group_IT_number 123
_space_group_name_Hall '-P 4 2'
loop_
_atom_site_label
_atom_site_type_symbol
_atom_site_fract_x
_atom_site_fract_y
_atom_site_fract_z
_atom_site_occupancy
Hg1 Hg 0.000 0.000 0.000 1
P1 P 0.000 0.500 0.500 1
Ir1 Ir 0.500 0.500 0.500 1
O1 O 0.500 0.500 0.000 1
```

Results
Total energy: -4.7010 eV per atom
Formation energy without anion corrections: 0.29 eV/atom
Relative energy among the computed polymorphs: 0.000 eV per atom
Total moment: 0.00 Bohr magnetons per cell

# PaHg2Ir3O12

An optimized crystal structure of PaHg2Ir3O12 (PBE, the Alexandria database).

Cell and atoms, written as CIF:
```
data_PaHg2Ir3O12
_chemical_formula_sum 'Pa3 Hg6 Ir9 O36'
_cell_length_a 7.2327
_cell_length_b 7.2327
_cell_length_c 19.2421
_cell_angle_alpha 90.00
_cell_angle_beta 90.00
_cell_angle_gamma 120.00
_space_group_name_H-M_alt 'R -3 m'
_space_group_IT_number 166
_space_group_name_Hall '-R 3 2"'
loop_
_atom_site_label
_atom_site_type_symbol
_atom_site_fract_x
_atom_site_fract_y
_atom_site_fract_z
_atom_site_occupancy
Pa1 Pa 0.0000 0.0000 0.0000 1
Hg1 Hg 0.0000 0.0000 0.4242 1
Ir1 Ir 0.0000 0.5000 0.5000 1
O1 O 0.0609 0.5304 0.5982 1
O2 O 0.0646 0.5323 0.8480 1
```

Results
Total energy: -6.3694 eV per atom
Formation energy without anion corrections: -1.03 eV/atom
Total moment: 0.00 Bohr magnetons per cell

# HgIrPbO2

An optimized crystal structure of HgIrPbO2 (PBE, the Alexandria database).

Cell and atoms, written as CIF:
```
data_HgIrPbO2
_chemical_formula_sum 'Hg1 Ir1 Pb1 O2'
_cell_length_a 4.113
_cell_length_b 4.113
_cell_length_c 5.407
_cell_angle_alpha 90.00
_cell_angle_beta 90.00
_cell_angle_gamma 90.00
_space_group_name_H-M_alt 'P 4/m m m'
_space_group_IT_number 123
_space_group_name_Hall '-P 4 2'
loop_
_atom_site_label
_atom_site_type_symbol
_atom_site_fract_x
_atom_site_fract_y
_atom_site_fract_z
_atom_site_occupancy
Hg1 Hg 0.000 0.000 0.000 1
Ir1 Ir 0.000 0.000 0.500 1
Pb1 Pb 0.500 0.500 0.500 1
O1 O 0.000 0.500 0.000 1
```

Results
Total energy: -3.8356 eV per atom
Formation energy without anion corrections: 0.72 eV/atom
Total moment: 0.03 Bohr magnetons per cell

# HgIrPbO6

An optimized crystal structure of HgIrPbO6 (PBE, the Alexandria database).

Cell and atoms, written as CIF:
```
data_HgIrPbO6
_chemical_formula_sum 'Hg2 Ir2 Pb2 O12'
_cell_length_a 5.6329
_cell_length_b 5.6329
_cell_length_c 9.2049
_cell_angle_alpha 90.00
_cell_angle_beta 90.00
_cell_angle_gamma 120.00
_space_group_name_H-M_alt 'P -3 1 c'
_space_group_IT_number 163
_space_group_name_Hall '-P 3 2c'
loop_
_atom_site_label
_atom_site_type_symbol
_atom_site_fract_x
_atom_site_fract_y
_atom_site_fract_z
_atom_site_occupancy
Hg1 Hg 0.0000 0.0000 0.0000 1
Ir1 Ir 0.3333 0.6667 0.2500 1
Pb1 Pb 0.3333 0.6667 0.7500 1
O1 O 0.0425 0.3902 0.1315 1
```

Results
Total energy: -5.2903 eV per atom
Formation energy without anion corrections: -0.55 eV/atom
Total moment: 0.00 Bohr magnetons per cell

# PmHgIrO6

An optimized crystal structure of PmHgIrO6 (PBE, the Alexandria database).

Cell and atoms, written as CIF:
```
data_PmHgIrO6
_chemical_formula_sum 'Pm2 Hg2 Ir2 O12'
_cell_length_a 5.7555
_cell_length_b 5.7555
_cell_length_c 8.9163
_cell_angle_alpha 90.00
_cell_angle_beta 90.00
_cell_angle_gamma 120.00
_space_group_name_H-M_alt 'P -3 1 c'
_space_group_IT_number 163
_space_group_name_Hall '-P 3 2c'
loop_
_atom_site_label
_atom_site_type_symbol
_atom_site_fract_x
_atom_site_fract_y
_atom_site_fract_z
_atom_site_occupancy
Pm1 Pm 0.3333 0.6667 0.2500 1
Hg1 Hg 0.0000 0.0000 0.0000 1
Ir1 Ir 0.3333 0.6667 0.7500 1
O1 O 0.0516 0.3947 0.6285 1
```

Results
Total energy: -6.0186 eV per atom
Formation energy without anion corrections: -1.17 eV/atom
Total moment: 1.51 Bohr magnetons per cell

# HgIrPtO6

An optimized crystal structure of HgIrPtO6 (PBE, the Alexandria database).

Cell and atoms, written as CIF:
```
data_HgIrPtO6
_chemical_formula_sum 'Hg4 Ir4 Pt4 O24'
_cell_length_a 7.015
_cell_length_b 7.230
_cell_length_c 10.140
_cell_angle_alpha 90.00
_cell_angle_beta 90.00
_cell_angle_gamma 90.00
_space_group_name_H-M_alt 'I m m a'
_space_group_IT_number 74
_space_group_name_Hall '-I 2b 2'
loop_
_atom_site_label
_atom_site_type_symbol
_atom_site_fract_x
_atom_site_fract_y
_atom_site_fract_z
_atom_site_occupancy
Hg1 Hg 0.000 0.250 0.188 1
Ir1 Ir 0.000 0.000 0.500 1
Pt1 Pt 0.250 0.250 0.750 1
O1 O 0.000 0.250 0.434 1
O2 O 0.000 0.250 0.836 1
O3 O 0.195 0.037 0.630 1
```

Results
Total energy: -5.3460 eV per atom
Formation energy without anion corrections: -0.35 eV/atom
Total moment: 0.84 Bohr magnetons per cell

# Rb2Hg2IrO4

An optimized crystal structure of Rb2Hg2IrO4 (PBE, the Alexandria database).

Cell and atoms, written as CIF:
```
data_Rb2Hg2IrO4
_chemical_formula_sum 'Rb4 Hg4 Ir2 O8'
_cell_length_a 6.869
_cell_length_b 6.869
_cell_length_c 8.290
_cell_angle_alpha 90.00
_cell_angle_beta 90.00
_cell_angle_gamma 90.00
_space_group_name_H-M_alt 'I 4/m m m'
_space_group_IT_number 139
_space_group_name_Hall '-I 4 2'
loop_
_atom_site_label
_atom_site_type_symbol
_atom_site_fract_x
_atom_site_fract_y
_atom_site_fract_z
_atom_site_occupancy
Rb1 Rb 0.000 0.500 0.250 1
Hg1 Hg 0.000 0.000 0.163 1
Ir1 Ir 0.000 0.000 0.500 1
O1 O 0.194 0.194 0.500 1
```

Results
Total energy: -4.1618 eV per atom
Formation energy without anion corrections: -0.69 eV/atom
Total moment: 4.02 Bohr magnetons per cell

# Rb2Hg2IrO6

An optimized crystal structure of Rb2Hg2IrO6 (PBE, the Alexandria database).

Cell and atoms, written as CIF:
```
data_Rb2Hg2IrO6
_chemical_formula_sum 'Rb4 Hg4 Ir2 O12'
_cell_length_a 6.206
_cell_length_b 10.131
_cell_length_c 6.711
_cell_angle_alpha 90.00
_cell_angle_beta 109.79
_cell_angle_gamma 90.00
_space_group_name_H-M_alt 'C 1 2/m 1'
_space_group_IT_number 12
_space_group_name_Hall '-C 2y'
loop_
_atom_site_label
_atom_site_type_symbol
_atom_site_fract_x
_atom_site_fract_y
_atom_site_fract_z
_atom_site_occupancy
Rb1 Rb 0.000 0.181 0.000 1
Hg1 Hg 0.000 0.339 0.500 1
Ir1 Ir 0.000 0.000 0.500 1
O1 O 0.192 0.138 0.673 1
O2 O 0.201 0.000 0.331 1
```

Results
Total energy: -4.5042 eV per atom
Formation energy without anion corrections: -0.76 eV/atom
Total moment: 0.00 Bohr magnetons per cell

# Rb2HgIrO6

An optimized crystal structure of Rb2HgIrO6 (PBE, the Alexandria database).

Cell and atoms, written as CIF:
```
data_Rb2HgIrO6
_chemical_formula_sum 'Rb8 Hg4 Ir4 O24'
_cell_length_a 8.565
_cell_length_b 8.565
_cell_length_c 8.565
_cell_angle_alpha 90.00
_cell_angle_beta 90.00
_cell_angle_gamma 90.00
_space_group_name_H-M_alt 'F m -3 m'
_space_group_IT_number 225
_space_group_name_Hall '-F 4 2 3'
loop_
_atom_site_label
_atom_site_type_symbol
_atom_site_fract_x
_atom_site_fract_y
_atom_site_fract_z
_atom_site_occupancy
Rb1 Rb 0.250 0.250 0.250 1
Hg1 Hg 0.000 0.000 0.000 1
Ir1 Ir 0.000 0.000 0.500 1
O1 O 0.000 0.000 0.278 1
```

Results
Total energy: -4.7998 eV per atom
Formation energy without anion corrections: -0.72 eV/atom
Total moment: 4.01 Bohr magnetons per cell

# HgSbIrO6

An optimized crystal structure of HgSbIrO6 (PBE, the Alexandria database).

Cell and atoms, written as CIF:
```
data_HgSbIrO6
_chemical_formula_sum 'Hg4 Sb4 Ir4 O24'
_cell_length_a 7.189
_cell_length_b 7.234
_cell_length_c 10.429
_cell_angle_alpha 90.00
_cell_angle_beta 90.00
_cell_angle_gamma 90.00
_space_group_name_H-M_alt 'I m m a'
_space_group_IT_number 74
_space_group_name_Hall '-I 2b 2'
loop_
_atom_site_label
_atom_site_type_symbol
_atom_site_fract_x
_atom_site_fract_y
_atom_site_fract_z
_atom_site_occupancy
Hg1 Hg 0.000 0.250 0.041 1
Sb1 Sb 0.000 0.000 0.500 1
Ir1 Ir 0.250 0.250 0.750 1
O1 O 0.000 0.250 0.423 1
O2 O 0.000 0.250 0.811 1
O3 O 0.213 0.061 0.620 1
```

Results
Total energy: -5.4683 eV per atom
Formation energy without anion corrections: -0.69 eV/atom
Total moment: 0.00 Bohr magnetons per cell

# SnHgIrO6

An optimized crystal structure of SnHgIrO6 (PBE, the Alexandria database).

Cell and atoms, written as CIF:
```
data_SnHgIrO6
_chemical_formula_sum 'Sn2 Hg2 Ir2 O12'
_cell_length_a 5.4174
_cell_length_b 5.4174
_cell_length_c 9.5906
_cell_angle_alpha 90.00
_cell_angle_beta 90.00
_cell_angle_gamma 120.00
_space_group_name_H-M_alt 'P -3 1 c'
_space_group_IT_number 163
_space_group_name_Hall '-P 3 2c'
loop_
_atom_site_label
_atom_site_type_symbol
_atom_site_fract_x
_atom_site_fract_y
_atom_site_fract_z
_atom_site_occupancy
Sn1 Sn 0.3333 0.6667 0.2500 1
Hg1 Hg 0.0000 0.0000 0.0000 1
Ir1 Ir 0.3333 0.6667 0.7500 1
O1 O 0.0206 0.3834 0.6364 1
```

Results
Total energy: -5.5556 eV per atom
Formation energy without anion corrections: -0.79 eV/atom
Total moment: 2.25 Bohr magnetons per cell

# Sn2HgIrO

An optimized crystal structure of Sn2HgIrO (PBE, the Alexandria database).

Cell and atoms, written as CIF:
```
data_Sn2HgIrO
_chemical_formula_sum 'Sn2 Hg1 Ir1 O1'
_cell_length_a 4.578
_cell_length_b 4.578
_cell_length_c 4.727
_cell_angle_alpha 90.00
_cell_angle_beta 90.00
_cell_angle_gamma 90.00
_space_group_name_H-M_alt 'P 4/m m m'
_space_group_IT_number 123
_space_group_name_Hall '-P 4 2'
loop_
_atom_site_label
_atom_site_type_symbol
_atom_site_fract_x
_atom_site_fract_y
_atom_site_fract_z
_atom_site_occupancy
Sn1 Sn 0.000 0.500 0.000 1
Hg1 Hg 0.000 0.000 0.500 1
Ir1 Ir 0.500 0.500 0.500 1
O1 O 0.000 0.000 0.000 1
```

Results
Total energy: -4.1392 eV per atom
Formation energy without anion corrections: 0.29 eV/atom
Total moment: 0.00 Bohr magnetons per cell

formation energy without anion corrections of number 6 (HgIrPtO6)?
-0.35 eV/atom